(1)
This record from Alexandria via LeMat-Bulk describes TbThZnPt after structural relaxation. The functional is GGA-PBE.

Lattice parameters (Å, degrees): 5.0944 5.0944 5.0944 60.00 60.00 60.00
With the nearest neighbours (Å) after each atom.
Fractional coordinates of all 4 atoms:
1 Tb 0.0000 0.0000 0.0000  4 Pt 3.12, 4 Zn 3.12
2 Th 0.5000 0.5000 0.5000  4 Pt 3.12, 4 Zn 3.12
3 Zn 0.2500 0.2500 0.2500  4 Tb 3.12, 4 Th 3.12
4 Pt 0.7500 0.7500 0.7500  4 Tb 3.12, 4 Th 3.12

Computed properties:
VASP energy	-5.495	eV/atom
crystal system	cubic
E_form	-0.65	eV/atom

=====

(2)
This record from Alexandria via LeMat-Bulk describes BaBi12Rh4 after structural relaxation. The functional is GGA-PBE.

Lattice parameters (Å, degrees): 8.5579 8.5579 8.5579 109.47 109.47 109.47
With the nearest neighbours (Å) after each atom.
Fractional coordinates of all 17 atoms:
1 Ba 0.0000 0.0000 0.0000  12 Bi 3.71
2 Bi 0.1610 0.4998 0.3388  2 Rh 2.77
3 Bi 0.1610 0.8222 0.6612  2 Rh 2.77
4 Bi 0.1778 0.3388 0.8390  2 Rh 2.77
5 Bi 0.3388 0.1610 0.4998  2 Rh 2.77
6 Bi 0.3388 0.8390 0.1778  2 Rh 2.77
7 Bi 0.4998 0.3388 0.1610  2 Rh 2.77
8 Bi 0.5002 0.6612 0.8390  2 Rh 2.77
9 Bi 0.6612 0.1610 0.8222  2 Rh 2.77
10 Bi 0.6612 0.8390 0.5002  2 Rh 2.77
11 Bi 0.8222 0.6612 0.1610  2 Rh 2.77
12 Bi 0.8390 0.1778 0.3388  2 Rh 2.77
13 Bi 0.8390 0.5002 0.6612  2 Rh 2.77
14 Rh 0.0000 0.0000 0.5000  6 Bi 2.77
15 Rh 0.0000 0.5000 0.0000  6 Bi 2.77
16 Rh 0.5000 0.0000 0.0000  6 Bi 2.77
17 Rh 0.5000 0.5000 0.5000  6 Bi 2.77

Computed properties:
VASP energy	-4.853	eV/atom
crystal system	cubic
E_form	-0.27	eV/atom